Record 1
# PBE ErTmTl2Se4, relaxed
data_ErTmTl2Se4
_symmetry_space_group_name_H-M 'P 1 2/m 1'
_symmetry_Int_Tables_number 10
_cell_length_a 7.178
_cell_length_b 4.144
_cell_length_c 8.139
_cell_angle_alpha 90.00
_cell_angle_beta 107.08
_cell_angle_gamma 90.00
loop_
_symmetry_equiv_pos_as_xyz
'x,y,z'
'-x,-y,-z'
'-x,y,-z'
'x,-y,z'
loop_
_atom_site_label
_atom_site_fract_x
_atom_site_fract_y
_atom_site_fract_z
_atom_site_occupancy
Er1 0.000 0.000 0.000 1
Tm1 0.500 0.500 0.000 1
Tl1 0.000 0.500 0.500 1
Tl2 0.500 0.000 0.500 1
Se1 0.235 0.500 0.202 1
Se2 0.267 0.000 0.798 1
# theoretical density: 7.61 g cm⁻³
# E_form (uncorrected): -133 kJ/mol of atoms
# E: -38.73 eV per cell
# magnetic moment: 0.000 μB per atom

Record 2
# PBE La2PmHo12, relaxed
data_La2PmHo12
_symmetry_space_group_name_H-M 'C 1 2/m 1'
_symmetry_Int_Tables_number 12
_cell_length_a 7.115
_cell_length_b 11.217
_cell_length_c 24.519
_cell_angle_alpha 90.00
_cell_angle_beta 94.18
_cell_angle_gamma 90.00
loop_
_symmetry_equiv_pos_as_xyz
'x,y,z'
'-x,-y,-z'
'-x,y,-z'
'x,-y,z'
'x+1/2,y+1/2,z'
'-x+1/2,-y+1/2,-z'
'-x+1/2,y+1/2,-z'
'x+1/2,-y+1/2,z'
loop_
_atom_site_label
_atom_site_fract_x
_atom_site_fract_y
_atom_site_fract_z
_atom_site_occupancy
La1 0.067 0.000 0.274 1
La2 0.067 0.500 0.274 1
Pm1 0.250 0.000 0.000 1
Ho1 0.017 0.250 0.075 1
Ho2 0.112 0.250 0.446 1
Ho3 0.142 0.000 0.571 1
Ho4 0.143 0.500 0.570 1
Ho5 0.168 0.250 0.668 1
Ho6 0.201 0.250 0.799 1
Ho7 0.217 0.000 0.865 1
Ho8 0.217 0.500 0.865 1
# theoretical density: 8.17 g cm⁻³
# energy relative to the elements: 0.1073 eV/atom
# E: -271.72 eV per cell
# magnetic moment: 0.000 μB per atom

Record 3
# PBE YRuW2, relaxed
data_YRuW2
_symmetry_space_group_name_H-M 'I 4/m m m'
_symmetry_Int_Tables_number 139
_symmetry_space_group_name_Hall '-I 4 2'
_cell_length_a 3.859
_cell_length_b 3.859
_cell_length_c 9.732
_cell_angle_alpha 90.00
_cell_angle_beta 90.00
_cell_angle_gamma 90.00
loop_
_atom_site_label
_atom_site_fract_x
_atom_site_fract_y
_atom_site_fract_z
_atom_site_occupancy
Y1 0.000 0.000 0.000 1
Ru1 0.000 0.000 0.500 1
W1 0.000 0.500 0.250 1
# theoretical density: 12.78 g cm⁻³
# energy relative to the elements: 0.4270 eV/atom
# E: -79.88 eV per cell
# magnetic moment: 0.000 μB per atom

Record 4
# PBE Na2Ga4Ag3, relaxed
data_Na2Ga4Ag3
_symmetry_space_group_name_H-M 'C m c e'
_symmetry_Int_Tables_number 64
_symmetry_space_group_name_Hall '-C 2ac 2'
_cell_length_a 5.758
_cell_length_b 16.089
_cell_length_c 7.862
_cell_angle_alpha 90.00
_cell_angle_beta 90.00
_cell_angle_gamma 90.00
loop_
_atom_site_label
_atom_site_fract_x
_atom_site_fract_y
_atom_site_fract_z
_atom_site_occupancy
Na1 0.000 0.096 0.108 1
Ga1 0.000 0.175 0.496 1
Ga2 0.250 0.076 0.750 1
Ag1 0.000 0.000 0.500 1
Ag2 0.250 0.245 0.750 1
# theoretical density: 5.91 g cm⁻³
# energy relative to the elements: -0.0794 eV/atom
# E: -96.06 eV per cell
# magnetic moment: 0.000 μB per atom

Record 5
# PBE HoPuTl2, relaxed
data_HoPuTl2
_symmetry_space_group_name_H-M 'F m -3 m'
_symmetry_Int_Tables_number 225
_symmetry_space_group_name_Hall '-F 4 2 3'
_cell_length_a 7.621
_cell_length_b 7.621
_cell_length_c 7.621
_cell_angle_alpha 90.00
_cell_angle_beta 90.00
_cell_angle_gamma 90.00
loop_
_atom_site_label
_atom_site_fract_x
_atom_site_fract_y
_atom_site_fract_z
_atom_site_occupancy
Ho1 0.000 0.000 0.000 1
Pu1 0.000 0.000 0.500 1
Tl1 0.250 0.250 0.250 1
# theoretical density: 12.27 g cm⁻³
# energy relative to the elements: -0.1409 eV/atom
# E: -96.82 eV per cell
# magnetic moment: 1.549 μB per atom

Record 6
# PBE LiBeIn2, relaxed
data_LiBeIn2
_symmetry_space_group_name_H-M 'P 4 m m'
_symmetry_Int_Tables_number 99
_cell_length_a 3.743
_cell_length_b 3.743
_cell_length_c 5.429
_cell_angle_alpha 90.00
_cell_angle_beta 90.00
_cell_angle_gamma 90.00
loop_
_symmetry_equiv_pos_as_xyz
'x,y,z'
'-y,x,z'
'-x,-y,z'
'y,-x,z'
'-x,y,z'
'y,x,z'
'x,-y,z'
'-y,-x,z'
loop_
_atom_site_label
_atom_site_fract_x
_atom_site_fract_y
_atom_site_fract_z
_atom_site_occupancy
Li1 0.000 0.000 0.000 1
Be1 0.500 0.500 0.269 1
In1 0.000 0.000 0.473 1
In2 0.500 0.500 0.782 1
# theoretical density: 5.36 g cm⁻³
# energy relative to the elements: 0.1951 eV/atom
# E: -10.34 eV per cell
# magnetic moment: 0.000 μB per atom

Record 7
# PBE AcY2IrO8, relaxed
data_AcY2IrO8
_symmetry_space_group_name_H-M 'P 1 2/m 1'
_symmetry_Int_Tables_number 10
_cell_length_a 5.100
_cell_length_b 7.067
_cell_length_c 5.106
_cell_angle_alpha 90.00
_cell_angle_beta 90.69
_cell_angle_gamma 90.00
loop_
_symmetry_equiv_pos_as_xyz
'x,y,z'
'-x,-y,-z'
'-x,y,-z'
'x,-y,z'
loop_
_atom_site_label
_atom_site_fract_x
_atom_site_fract_y
_atom_site_fract_z
_atom_site_occupancy
Ac1 0.000 0.000 0.000 1
Y1 0.500 0.254 0.500 1
Ir1 0.000 0.500 0.000 1
O1 0.188 0.303 0.187 1
O2 0.267 0.500 0.732 1
O3 0.323 0.000 0.676 1
# theoretical density: 6.54 g cm⁻³
# E_form (uncorrected): -223 kJ/mol of atoms
# E: -93.27 eV per cell
# magnetic moment: 0.176 μB per atom

Record 8
# PBE Ca2TbTm, relaxed
data_Ca2TbTm
_symmetry_space_group_name_H-M 'R -3 m'
_symmetry_Int_Tables_number 166
_symmetry_space_group_name_Hall '-R 3 2"'
_cell_length_a 3.5605
_cell_length_b 3.5605
_cell_length_c 38.9880
_cell_angle_alpha 90.00
_cell_angle_beta 90.00
_cell_angle_gamma 120.00
loop_
_atom_site_label
_atom_site_fract_x
_atom_site_fract_y
_atom_site_fract_z
_atom_site_occupancy
Ca1 0.0000 0.0000 0.0871 1
Tb1 0.0000 0.0000 0.5000 1
Tm1 0.0000 0.0000 0.0000 1
# theoretical density: 4.75 g cm⁻³
# energy relative to the elements: 0.2717 eV/atom
# E: -36.05 eV per cell
# magnetic moment: 0.149 μB per atom

Record 9
# PBE NdTmMgRu, relaxed
data_NdTmMgRu
_symmetry_space_group_name_H-M 'P 4 m m'
_symmetry_Int_Tables_number 99
_cell_length_a 3.426
_cell_length_b 3.426
_cell_length_c 8.535
_cell_angle_alpha 90.00
_cell_angle_beta 90.00
_cell_angle_gamma 90.00
loop_
_symmetry_equiv_pos_as_xyz
'x,y,z'
'-y,x,z'
'-x,-y,z'
'y,-x,z'
'-x,y,z'
'y,x,z'
'x,-y,z'
'-y,-x,z'
loop_
_atom_site_label
_atom_site_fract_x
_atom_site_fract_y
_atom_site_fract_z
_atom_site_occupancy
Nd1 0.000 0.000 0.000 1
Tm1 0.000 0.000 0.606 1
Mg1 0.500 0.500 0.313 1
Ru1 0.500 0.500 0.789 1
# theoretical density: 7.27 g cm⁻³
# energy relative to the elements: -0.2346 eV/atom
# E: -21.05 eV per cell
# magnetic moment: 0.000 μB per atom

Record 10
# PBE CaIn12Ir4, relaxed
data_CaIn12Ir4
_symmetry_space_group_name_H-M 'I m -3'
_symmetry_Int_Tables_number 204
_symmetry_space_group_name_Hall '-I 2 2 3'
_cell_length_a 10.389
_cell_length_b 10.389
_cell_length_c 10.389
_cell_angle_alpha 90.00
_cell_angle_beta 90.00
_cell_angle_gamma 90.00
loop_
_atom_site_label
_atom_site_fract_x
_atom_site_fract_y
_atom_site_fract_z
_atom_site_occupancy
Ca1 0.000 0.000 0.000 1
In1 0.000 0.252 0.253 1
Ir1 0.250 0.250 0.250 1
# theoretical density: 6.48 g cm⁻³
# energy relative to the elements: -0.1047 eV/atom
# E: -144.17 eV per cell
# magnetic moment: 0.000 μB per atom

Record 11
# PBE ReTe2HI, relaxed
data_ReTe2HI
_symmetry_space_group_name_H-M 'P 4/m m m'
_symmetry_Int_Tables_number 123
_symmetry_space_group_name_Hall '-P 4 2'
_cell_length_a 4.374
_cell_length_b 4.374
_cell_length_c 5.189
_cell_angle_alpha 90.00
_cell_angle_beta 90.00
_cell_angle_gamma 90.00
loop_
_atom_site_label
_atom_site_fract_x
_atom_site_fract_y
_atom_site_fract_z
_atom_site_occupancy
Re1 0.000 0.000 0.000 1
Te1 0.000 0.500 0.500 1
H1 0.500 0.500 0.500 1
I1 0.500 0.500 0.000 1
# theoretical density: 9.52 g cm⁻³
# E: -16.68 eV per cell
# magnetic moment: 0.131 μB per atom

Record 12
# PBE Li9Ca2Cd3, relaxed
data_Li9Ca2Cd3
_symmetry_space_group_name_H-M 'C m c m'
_symmetry_Int_Tables_number 63
_symmetry_space_group_name_Hall '-C 2c 2'
_cell_length_a 14.188
_cell_length_b 8.796
_cell_length_c 9.874
_cell_angle_alpha 90.00
_cell_angle_beta 90.00
_cell_angle_gamma 90.00
loop_
_atom_site_label
_atom_site_fract_x
_atom_site_fract_y
_atom_site_fract_z
_atom_site_occupancy
Li1 0.000 0.159 0.020 1
Li2 0.000 0.334 0.750 1
Li3 0.103 0.035 0.750 1
Li4 0.166 0.317 0.585 1
Ca1 0.150 0.345 0.250 1
Cd1 0.000 0.500 0.000 1
Cd2 0.186 0.000 0.000 1
# theoretical density: 2.59 g cm⁻³
# energy relative to the elements: -0.1426 eV/atom
# E: -103.88 eV per cell
# magnetic moment: 0.000 μB per atom